Entry 1:
## MnAl3Ni (PBE)

Data for a geometry-optimized MnAl3Ni structure.

abc: 4.4422 4.4422 4.4422
angles: 90.00 90.00 90.00
Site moments in Bohr magnetons follow the coordinates.
Element x y z (fractional)
Ni1 0.0000 0.0000 0.0000  -0.06
Mn1 0.5000 0.5000 0.5000  3.89
Al1 0.0000 0.5000 0.0000  -0.01
Al2 0.0000 0.0000 0.5000  0.00
Al3 0.5000 0.0000 0.0000  -0.01

Output
The mass density comes out at 3.69 g cm⁻³. The calculation puts the total DFT energy (no corrections) at -25.4 eV per cell. As for the crystal system: cubic. The polymorph energy (0 for the lowest one) is 471.2 meV/atom. Its space group is Pm-3m (221).

=====

Entry 2:
## TbP2Rh5Pb (PBE)

Data for a geometry-optimized TbP2Rh5Pb structure.

abc: 4.0661 4.0661 10.2957
angles: 90.00 90.00 90.00
Element x y z (fractional)
Tb1 0.0000 0.0000 0.5000
P1 0.5000 0.5000 0.2816
P2 0.5000 0.5000 0.7184
Rh1 0.0000 0.5000 0.1861
Rh2 0.5000 0.0000 0.1861
Rh3 0.0000 0.5000 0.8139
Rh4 0.5000 0.0000 0.8139
Rh5 0.5000 0.5000 0.5000
Pb1 0.0000 0.0000 0.0000

Output
The mass density comes out at 9.20 g cm⁻³. The calculation puts the total DFT energy (no corrections) at -61.1 eV per cell. As for the crystal system: tetragonal. Its space group is P4/mmm (123).

=====

Entry 3:
## Hg2IF (PBE)

Data for a geometry-optimized Hg2IF structure.

abc: 5.1571 5.1571 5.1571
angles: 60.00 60.00 60.00
Element x y z (fractional)
I1 0.5000 0.5000 0.5000
Hg1 0.2500 0.2500 0.2500
Hg2 0.7500 0.7500 0.7500
F1 0.0000 0.0000 0.0000

Output
The mass density comes out at 9.37 g cm⁻³. The calculation puts the total DFT energy (no corrections) at -5.4 eV per cell. As for the crystal system: cubic. For the formation energy without anion corrections, the calculation gives -0.335 eV per atom. The polymorph energy (0 for the lowest one) is 131.2 meV/atom. Its space group is Fm-3m (225).

=====

Entry 4:
## CsCa2Br5 (PBE)

Data for a geometry-optimized CsCa2Br5 structure.

abc: 4.5578 7.5323 9.0784
angles: 114.51 104.54 90.00
Element x y z (fractional)
Cs1 0.0000 0.0000 0.0000
Ca1 0.1841 0.6841 0.3681
Ca2 0.8159 0.3159 0.6319
Br1 0.0000 0.5000 0.0000
Br2 0.6595 0.4027 0.3190
Br3 0.3405 0.5973 0.6810
Br4 0.6595 0.9163 0.3190
Br5 0.3405 0.0837 0.6810

Output
The mass density comes out at 3.73 g cm⁻³. The calculation puts the total DFT energy (no corrections) at -28.9 eV per cell. As for the crystal system: orthorhombic. For the formation energy without anion corrections, the calculation gives -1.957 eV per atom. Its space group is Immm (71).

=====

> The lowest mass density belongs to which entry?

MnAl3Ni

=====

> mass density of number 1 (MnAl3Ni)?

3.69 g cm⁻³

=====

> The lowest mass density belongs to which entry?

MnAl3Ni

=====

Please write out number 4 again, unchanged.
## CsCa2Br5 (PBE)

Data for a geometry-optimized CsCa2Br5 structure.

abc: 4.5578 7.5323 9.0784
angles: 114.51 104.54 90.00
Element x y z (fractional)
Cs1 0.0000 0.0000 0.0000
Ca1 0.1841 0.6841 0.3681
Ca2 0.8159 0.3159 0.6319
Br1 0.0000 0.5000 0.0000
Br2 0.6595 0.4027 0.3190
Br3 0.3405 0.5973 0.6810
Br4 0.6595 0.9163 0.3190
Br5 0.3405 0.0837 0.6810

Output
The mass density comes out at 3.73 g cm⁻³. The calculation puts the total DFT energy (no corrections) at -28.9 eV per cell. As for the crystal system: orthorhombic. For the formation energy without anion corrections, the calculation gives -1.957 eV per atom. Its space group is Immm (71).